1.
VASP calculation (SCAN) on a PBEsol-optimized structure of BaBeAg2.

Lattice parameters (Å, degrees): 4.4824 4.9848 5.2536 111.34 107.68 105.01
With the nearest neighbours (Å) after each atom.
Fractional coordinates of all 4 atoms:
Be 0.0000 0.5000 0.0000  2 Ba 2.89, 4 Ag 2.89
Ba 0.5000 0.0000 0.0000  2 Be 2.89, 4 Ag 2.89
Ag 0.0000 0.0000 0.5000  2 Ag 2.89, 2 Ba 2.89, 2 Be 2.89
Ag 0.5000 0.5000 0.5000  2 Ag 2.89, 2 Be 2.89, 2 Ba 2.89

Summary:
Energy, eV/atom: -26.08
ΔE_f, eV per atom: 0.582
SG: No. 12
Size of the total moment, μB/f.u.: 0.0
D(E_F), states/eV/f.u.: 1.6

***

2.
VASP calculation (SCAN) on a PBEsol-optimized structure of BaHfBeAg2.

Lattice parameters (Å, degrees): 4.5451 4.5451 5.2415 90.00 90.00 90.00
With the nearest neighbours (Å) after each atom.
Fractional coordinates of all 5 atoms:
Be 0.0000 0.0000 0.0000  4 Ag 2.27
Hf 0.5000 0.5000 0.5000  4 Ba 3.21, 8 Ag 3.47
Ba 0.0000 0.0000 0.5000  2 Be 2.62
Ag 0.0000 0.5000 0.0000  2 Be 2.27
Ag 0.5000 0.0000 0.0000  2 Be 2.27

Summary:
Energy, eV/atom: -32.98
ΔE_f, eV per atom: 0.878
SG: No. 123
Size of the total moment, μB/f.u.: 0.0
D(E_F), states/eV/f.u.: 4.5

***

3.
VASP calculation (SCAN) on a PBEsol-optimized structure of Ba2AgHgBi.

Lattice parameters (Å, degrees): 5.0880 6.2519 6.2519 90.00 90.00 90.00
With the nearest neighbours (Å) after each atom.
Fractional coordinates of all 5 atoms:
Ba 0.0000 0.0000 0.5000  2 Hg 3.13
Ba 0.0000 0.5000 0.0000  2 Hg 3.13
Bi 0.5000 0.5000 0.5000  8 Ba 4.03, 4 Ag 4.42
Ag 0.5000 0.0000 0.0000  2 Hg 2.54
Hg 0.0000 0.0000 0.0000  2 Ag 2.54

Summary:
Energy, eV/atom: -51.74
ΔE_f, eV per atom: -0.302
SG: No. 123
Size of the total moment, μB/f.u.: 0.0
D(E_F), states/eV/f.u.: 4.5

***

Among the records above, which one has the highest energy? BaBeAg2